# KHf2MoO8 GGA+U relaxed
data_KHf2MoO8
_cell_length_a 4.880
_cell_length_b 6.887
_cell_length_c 4.890
_cell_angle_alpha 90.00
_cell_angle_beta 91.47
_cell_angle_gamma 90.00
_space_group_name_H-M_alt 'P 1 2/m 1'
_space_group_IT_number 10
loop_
_space_group_symop_operation_xyz
'x,y,z'
'-x,-y,-z'
'-x,y,-z'
'x,-y,z'
loop_
_atom_site_label
_atom_site_type_symbol
_atom_site_fract_x
_atom_site_fract_y
_atom_site_fract_z
K1 K 0.000 0.000 0.000
Hf1 Hf 0.500 0.265 0.500
Mo1 Mo 0.000 0.500 0.000
O1 O 0.201 0.307 0.200
O2 O 0.295 0.500 0.703
O3 O 0.348 0.000 0.649
# Total energy, eV per atom: -7.9739